VASP calculation (GGA-PBE) on a relaxed structure of Gd2ErMg3Ir2Au.

Cell and atoms, written as POSCAR:
```
Gd2ErMg3Ir2Au
1.0
4.025 0.000 0.000
0.000 6.419 3.719
0.000 -6.419 3.719
Gd Er Mg Ir Au
2 1 3 2 1
Cartesian
0.000 -3.731 3.719
0.000 3.731 3.719
0.000 0.000 4.659
2.012 -1.618 2.504
2.012 1.618 2.504
2.012 0.000 7.104
2.012 -2.111 5.265
2.012 2.111 5.265
0.000 0.000 1.574
```

Output
Total magnetic moment = 0.00 μB per atom
Uncorrected energy = -5.07 eV per atom

---

VASP calculation (GGA-PBE) on a relaxed structure of Gd2ErMg3Pd2Au.

Cell and atoms, written as POSCAR:
```
Gd2ErMg3Pd2Au
1.0
4.084 0.000 0.000
0.000 6.487 3.755
0.000 -6.487 3.755
Gd Er Mg Pd Au
2 1 3 2 1
Cartesian
0.000 -3.798 3.755
0.000 3.798 3.755
0.000 0.000 4.657
2.042 -1.607 2.494
2.042 1.607 2.494
2.042 0.000 7.192
2.042 -2.132 5.300
2.042 2.132 5.300
0.000 0.000 1.576
```

Output
Total magnetic moment = 0.00 μB per atom
Uncorrected energy = -4.25 eV per atom

---

VASP calculation (GGA-PBE) on a relaxed structure of Gd2ErZn3Pt2Au.

Cell and atoms, written as POSCAR:
```
Gd2ErZn3Pt2Au
1.0
3.861 0.000 0.000
0.000 6.377 3.696
0.000 -6.377 3.696
Gd Er Zn Pt Au
2 1 3 2 1
Cartesian
0.000 -3.762 3.696
0.000 3.762 3.696
0.000 0.000 4.536
1.930 -1.647 2.476
1.930 1.647 2.476
1.930 0.000 6.995
1.930 -2.091 5.198
1.930 2.091 5.198
0.000 0.000 1.539
```

Output
Energy of formation = -7.92 eV per formula unit
Total magnetic moment = 0.00 μB per atom

---

VASP calculation (GGA-PBE) on a relaxed structure of GdErSn2Au2.

Cell and atoms, written as POSCAR:
```
GdErSn2Au2
1.0
4.700 0.000 0.000
-2.350 4.070 0.000
0.000 0.000 7.426
Gd Er Sn Au
1 1 2 2
Cartesian
0.000 0.000 0.000
0.000 0.000 3.706
0.000 2.713 5.367
2.350 1.357 1.672
0.000 2.713 2.436
2.350 1.357 6.077
```

Output
Total magnetic moment = 0.00 μB per atom
Uncorrected energy = -4.78 eV per atom

---

VASP calculation (GGA-PBE) on a relaxed structure of Gd2ErSn4Au4.

Cell and atoms, written as POSCAR:
```
Gd2ErSn4Au4
1.0
-2.307 3.613 7.732
2.307 -3.613 7.732
2.307 3.613 -7.732
Gd Er Sn Au
2 1 4 4
Cartesian
0.000 0.000 1.993
0.000 0.000 13.471
0.000 3.613 0.000
2.307 1.443 0.000
2.307 0.000 4.466
0.000 3.613 3.267
0.000 2.170 7.732
2.307 2.133 -2.631
2.307 2.133 2.631
0.000 1.481 5.102
0.000 1.481 10.363
```

Output
Total magnetic moment = 0.00 μB per atom
Uncorrected energy = -4.55 eV per atom

---

VASP calculation (GGA-PBE) on a relaxed structure of Ho2ErGe4Au4.

Cell and atoms, written as POSCAR:
```
Ho2ErGe4Au4
1.0
-2.173 3.527 7.284
2.173 -3.527 7.284
2.173 3.527 -7.284
Ho Er Ge Au
2 1 4 4
Cartesian
0.000 0.000 1.836
0.000 0.000 12.732
0.000 3.527 0.000
2.173 1.306 0.000
2.173 0.000 4.138
0.000 3.527 3.146
0.000 2.220 7.284
2.173 2.099 -2.436
2.173 2.099 2.436
0.000 1.428 4.848
0.000 1.428 9.720
```

Output
Total magnetic moment = 0.00 μB per atom
Uncorrected energy = -4.77 eV per atom

---

VASP calculation (GGA-PBE) on a relaxed structure of Er2LuGe4Au4.

Cell and atoms, written as POSCAR:
```
Er2LuGe4Au4
1.0
-2.168 3.516 7.263
2.168 -3.516 7.263
2.168 3.516 -7.263
Er Lu Ge Au
2 1 4 4
Cartesian
0.000 0.000 1.825
0.000 0.000 12.701
0.000 3.516 0.000
2.168 1.311 0.000
2.168 0.000 4.138
0.000 3.516 3.125
0.000 2.204 7.263
2.168 2.087 -2.432
2.168 2.087 2.432
0.000 1.429 4.831
0.000 1.429 9.696
```

Output
Total magnetic moment = 0.00 μB per atom
Uncorrected energy = -4.73 eV per atom

---

VASP calculation (GGA-PBE) on a relaxed structure of NdErGe2Au2.

Cell and atoms, written as POSCAR:
```
NdErGe2Au2
1.0
4.492 0.000 0.000
-2.246 3.890 0.000
0.000 0.000 7.479
Nd Er Ge Au
1 1 2 2
Cartesian
0.000 0.000 0.000
0.000 0.000 3.715
0.000 2.593 5.248
2.246 1.297 1.615
0.000 2.593 2.252
2.246 1.297 5.680
```

Output
Total magnetic moment = 0.00 μB per atom
Uncorrected energy = -5.02 eV per atom

---

VASP calculation (GGA-PBE) on a relaxed structure of NdEr2Ge4Au4.

Cell and atoms, written as POSCAR:
```
NdEr2Ge4Au4
1.0
-2.167 3.568 7.323
2.167 -3.568 7.323
2.167 3.568 -7.323
Nd Er Ge Au
1 2 4 4
Cartesian
0.000 0.000 0.000
2.167 0.000 5.471
0.000 3.568 1.851
0.000 0.000 3.209
2.167 2.285 0.000
0.000 1.283 7.323
0.000 0.000 11.436
2.167 1.436 -2.439
2.167 1.436 2.439
0.000 2.132 4.884
0.000 2.132 9.761
```

Output
Total magnetic moment = 0.00 μB per atom
Uncorrected energy = -4.82 eV per atom

---

VASP calculation (GGA-PBE) on a relaxed structure of ErGeAuS3.

Cell and atoms, written as POSCAR:
```
ErGeAuS3
1.0
11.282 0.000 0.000
0.000 3.941 0.000
0.000 0.000 12.102
Er Ge Au S
4 4 4 12
Cartesian
0.076 0.985 1.972
5.565 2.956 8.023
5.716 0.985 4.079
11.206 2.956 10.130
2.040 0.985 7.059
3.601 2.956 1.008
7.681 0.985 11.094
9.242 2.956 5.043
2.170 2.956 4.926
3.471 0.985 10.977
7.811 2.956 1.125
9.112 0.985 7.176
0.088 2.956 3.870
1.178 0.985 11.525
2.821 0.985 2.449
2.820 2.956 8.500
4.463 2.956 5.474
5.553 0.985 9.921
5.729 2.956 2.181
6.818 0.985 6.629
8.461 0.985 3.602
8.461 2.956 9.653
10.104 2.956 0.577
11.194 0.985 8.232
```

Output
Total magnetic moment = 0.00 μB per atom
Uncorrected energy = -5.04 eV per atom

---

VASP calculation (GGA-PBE) on a relaxed structure of ErGeAuS3.

Cell and atoms, written as POSCAR:
```
ErGeAuS3
1.0
1.977 -6.874 0.000
1.977 6.874 0.000
0.000 0.000 10.076
Er Ge Au S
2 2 2 6
Cartesian
0.000 0.000 0.000
0.000 0.000 5.038
1.977 2.580 7.557
1.977 -2.580 2.519
1.977 2.190 2.519
1.977 -2.190 7.557
1.977 5.918 2.519
1.977 1.858 0.195
1.977 1.858 4.844
1.977 -1.858 5.233
1.977 -1.858 9.882
1.977 -5.918 7.557
```

Output
Total magnetic moment = 0.00 μB per atom
Uncorrected energy = -5.05 eV per atom

---

VASP calculation (GGA-PBE) on a relaxed structure of ErGeAuSe2S.

Cell and atoms, written as POSCAR:
```
ErGeAuSe2S
1.0
1.973 -6.630 0.000
1.973 6.630 0.000
0.000 0.000 10.171
Er Ge Au Se S
2 2 2 4 2
Cartesian
0.000 0.000 0.000
0.000 0.000 5.085
1.973 3.263 7.628
1.973 -3.263 2.543
1.973 0.360 2.543
1.973 -0.360 7.628
1.973 2.031 0.584
1.973 2.031 4.502
1.973 -2.031 5.669
1.973 -2.031 9.587
1.973 5.300 2.543
1.973 -5.300 7.628
```

Output
Total magnetic moment = 0.00 μB per atom
Uncorrected energy = -4.64 eV per atom

---

VASP calculation (GGA-PBE) on a relaxed structure of ErGeAuSeS2.

Cell and atoms, written as POSCAR:
```
ErGeAuSeS2
1.0
1.996 -6.967 0.000
1.996 6.967 0.000
0.000 0.000 10.346
Er Ge Au Se S
2 2 2 2 4
Cartesian
0.000 0.000 0.000
0.000 0.000 5.173
1.996 2.747 7.760
1.996 -2.747 2.587
1.996 2.147 2.587
1.996 -2.147 7.760
1.996 5.942 2.587
1.996 -5.942 7.760
1.996 1.849 0.241
1.996 1.849 4.932
1.996 -1.849 5.414
1.996 -1.849 10.105
```

Output
Total magnetic moment = 0.00 μB per atom
Uncorrected energy = -4.88 eV per atom

---

VASP calculation (GGA-PBE) on a relaxed structure of ErGeTe2AuS.

Cell and atoms, written as POSCAR:
```
ErGeTe2AuS
1.0
2.075 -7.412 0.000
2.075 7.412 0.000
0.000 0.000 9.937
Er Ge Te Au S
2 2 4 2 2
Cartesian
0.000 0.000 0.000
0.000 0.000 4.969
2.075 3.964 7.453
2.075 -3.964 2.484
2.075 2.309 0.542
2.075 2.309 4.426
2.075 -2.309 5.511
2.075 -2.309 9.395
2.075 0.259 2.484
2.075 -0.259 7.453
2.075 6.242 2.484
2.075 -6.242 7.453
```

Output
Total magnetic moment = 0.00 μB per atom
Uncorrected energy = -4.38 eV per atom

---

VASP calculation (GGA-PBE) on a relaxed structure of ErGeTe2AuSe.

Cell and atoms, written as POSCAR:
```
ErGeTe2AuSe
1.0
2.075 -7.257 0.000
2.075 7.257 0.000
0.000 0.000 10.272
Er Ge Te Au Se
2 2 4 2 2
Cartesian
0.000 0.000 0.000
0.000 0.000 5.136
2.075 3.741 7.704
2.075 -3.741 2.568
2.075 2.267 0.613
2.075 2.267 4.523
2.075 -2.267 5.749
2.075 -2.267 9.659
2.075 0.303 2.568
2.075 -0.303 7.704
2.075 5.869 2.568
2.075 -5.869 7.704
```

Output
Total magnetic moment = 0.00 μB per atom
Uncorrected energy = -4.27 eV per atom

---

VASP calculation (GGA-PBE) on a relaxed structure of ErGeTe3Au.

Cell and atoms, written as POSCAR:
```
ErGeTe3Au
1.0
2.067 -7.520 0.000
2.067 7.520 0.000
0.000 0.000 11.247
Er Ge Te Au
2 2 6 2
Cartesian
0.000 0.000 0.000
0.000 0.000 5.623
2.067 4.909 8.435
2.067 -4.909 2.812
2.067 6.153 2.812
2.067 2.219 0.575
2.067 2.219 5.049
2.067 -2.219 6.198
2.067 -2.219 10.672
2.067 -6.153 8.435
2.067 0.511 2.812
2.067 -0.511 8.435
```

Output
Total magnetic moment = 0.00 μB per atom
Uncorrected energy = -4.19 eV per atom

---

VASP calculation (GGA-PBE) on a relaxed structure of ErGeTe3Au.

Cell and atoms, written as POSCAR:
```
ErGeTe3Au
1.0
13.185 0.000 0.000
0.000 4.201 0.000
0.000 0.000 12.441
Er Ge Te Au
4 4 12 4
Cartesian
0.842 1.050 2.270
5.750 3.151 8.490
7.435 1.050 3.951
12.343 3.151 10.172
2.931 1.050 5.335
3.662 3.151 11.556
9.524 1.050 0.885
10.254 3.151 7.106
0.659 3.151 4.546
1.089 1.050 11.494
2.788 3.151 8.000
3.805 1.050 1.780
5.504 3.151 5.274
5.934 1.050 10.767
7.251 3.151 1.674
7.682 1.050 7.168
9.381 3.151 10.662
10.397 1.050 4.441
12.096 3.151 0.947
12.527 1.050 7.895
3.254 3.151 3.548
3.339 1.050 9.769
9.847 3.151 2.673
9.931 1.050 8.893
```

Output
Total magnetic moment = 0.00 μB per atom
Uncorrected energy = -4.14 eV per atom

---

VASP calculation (GGA-PBE) on a relaxed structure of ErTm2Ge4Au4.

Cell and atoms, written as POSCAR:
```
ErTm2Ge4Au4
1.0
-2.162 3.524 7.269
2.162 -3.524 7.269
2.162 3.524 -7.269
Er Tm Ge Au
1 2 4 4
Cartesian
0.000 0.000 0.000
2.162 0.000 5.445
0.000 3.524 1.824
0.000 0.000 3.139
2.162 2.221 0.000
0.000 1.303 7.269
0.000 0.000 11.399
2.162 1.434 -2.434
2.162 1.434 2.434
0.000 2.090 4.835
0.000 2.090 9.703
```

Output
Total magnetic moment = 0.00 μB per atom
Uncorrected energy = -4.74 eV per atom

---

VASP calculation (GGA-PBE) on a relaxed structure of YErGe2Au2.

Cell and atoms, written as POSCAR:
```
YErGe2Au2
1.0
4.466 0.000 0.000
-2.233 3.868 0.000
0.000 0.000 7.309
Y Er Ge Au
1 1 2 2
Cartesian
0.000 0.000 0.000
0.000 0.000 3.661
0.000 2.578 2.164
2.233 1.289 5.794
0.000 2.578 5.157
2.233 1.289 1.598
```

Output
Total magnetic moment = 0.00 μB per atom
Uncorrected energy = -5.30 eV per atom

---

VASP calculation (GGA-PBE) on a relaxed structure of ErHfAu4.

Cell and atoms, written as POSCAR:
```
ErHfAu4
1.0
3.623 0.000 0.000
0.000 3.623 0.000
0.000 0.000 8.887
Er Hf Au
1 1 4
Cartesian
0.000 0.000 0.000
1.812 1.812 4.444
0.000 0.000 3.022
0.000 0.000 5.865
1.812 1.812 1.532
1.812 1.812 7.355
```

Output
Energy of formation = -4.36 eV per formula unit
Total magnetic moment = 0.00 μB per atom

---

VASP calculation (GGA-PBE) on a relaxed structure of ErHfAu6.

Cell and atoms, written as POSCAR:
```
ErHfAu6
1.0
4.916 0.000 0.000
0.000 6.102 0.000
0.000 0.000 5.030
Er Hf Au
1 1 6
Cartesian
0.000 0.000 0.000
2.458 3.051 1.578
0.000 1.600 2.495
0.000 3.051 0.030
0.000 4.502 2.495
2.458 0.000 1.646
2.458 1.560 4.131
2.458 4.542 4.131
```

Output
Energy of formation = -4.84 eV per formula unit
Total magnetic moment = 0.00 μB per atom